*i*
# CaP4Rh, optimized geometry, DFT PBE-GGA
data_CaP4Rh
_cell_length_a 3.661
_cell_length_b 8.017
_cell_length_c 6.909
_cell_angle_alpha 90.00
_cell_angle_beta 90.00
_cell_angle_gamma 90.00
_symmetry_space_group_name_H-M 'P 1'
_symmetry_Int_Tables_number 1
loop_
_symmetry_equiv_pos_as_xyz
'x,y,z'
loop_
_atom_site_label
_atom_site_type_symbol
_atom_site_fract_x
_atom_site_fract_y
_atom_site_fract_z
P1 P 0.500 0.976 0.750
P2 P 0.500 0.629 0.956
P3 P 0.000 0.000 0.500
Ca1 Ca 0.000 0.313 0.750
Rh1 Rh 0.000 0.729 0.750
P4 P 0.500 0.371 0.456
P5 P 0.500 0.629 0.544
P6 P 0.500 0.024 0.250
P7 P 0.000 0.000 0.000
Rh2 Rh 0.000 0.271 0.250
Ca2 Ca 0.000 0.687 0.250
P8 P 0.500 0.371 0.044
# M_tot ... 0.00 μB per formula unit

=====

*ii*
# CaP4Rh, optimized geometry, DFT PBE-GGA
data_CaP4Rh
_cell_length_a 5.196
_cell_length_b 5.196
_cell_length_c 5.196
_cell_angle_alpha 60.00
_cell_angle_beta 60.00
_cell_angle_gamma 60.00
_symmetry_space_group_name_H-M 'P 1'
_symmetry_Int_Tables_number 1
loop_
_symmetry_equiv_pos_as_xyz
'x,y,z'
loop_
_atom_site_label
_atom_site_type_symbol
_atom_site_fract_x
_atom_site_fract_y
_atom_site_fract_z
Ca1 Ca 0.000 0.000 0.000
P1 P 0.384 0.848 0.384
P2 P 0.384 0.384 0.384
P3 P 0.384 0.384 0.848
P4 P 0.848 0.384 0.384
Rh1 Rh 0.750 0.750 0.750
# M_tot ... 0.00 μB per formula unit

=====

The most stable of them is *i*.

=====

*i*
# Ca2PRh2, optimized geometry, DFT PBE-GGA
data_Ca2PRh2
_cell_length_a 5.654
_cell_length_b 5.654
_cell_length_c 7.303
_cell_angle_alpha 80.53
_cell_angle_beta 80.53
_cell_angle_gamma 60.74
_symmetry_space_group_name_H-M 'P 1'
_symmetry_Int_Tables_number 1
loop_
_symmetry_equiv_pos_as_xyz
'x,y,z'
loop_
_atom_site_label
_atom_site_type_symbol
_atom_site_fract_x
_atom_site_fract_y
_atom_site_fract_z
P1 P 0.911 0.089 0.750
P2 P 0.089 0.911 0.250
Rh1 Rh 0.253 0.991 0.494
Rh2 Rh 0.009 0.747 0.006
Ca1 Ca 0.776 0.523 0.353
Rh3 Rh 0.991 0.253 0.994
Ca2 Ca 0.477 0.224 0.147
Rh4 Rh 0.747 0.009 0.506
Ca3 Ca 0.523 0.776 0.853
Ca4 Ca 0.224 0.477 0.647
# M_tot ... 0.00 μB per formula unit

=====

*ii*
# Ca2PRh2, optimized geometry, DFT PBE-GGA
data_Ca2PRh2
_cell_length_a 6.423
_cell_length_b 6.423
_cell_length_c 4.606
_cell_angle_alpha 90.00
_cell_angle_beta 90.00
_cell_angle_gamma 90.00
_symmetry_space_group_name_H-M 'P 1'
_symmetry_Int_Tables_number 1
loop_
_symmetry_equiv_pos_as_xyz
'x,y,z'
loop_
_atom_site_label
_atom_site_type_symbol
_atom_site_fract_x
_atom_site_fract_y
_atom_site_fract_z
Rh1 Rh 0.655 0.155 0.000
Ca1 Ca 0.171 0.671 0.500
P1 P 0.500 0.500 0.000
Ca2 Ca 0.829 0.329 0.500
Rh2 Rh 0.155 0.345 0.000
Ca3 Ca 0.329 0.171 0.500
Rh3 Rh 0.345 0.845 0.000
P2 P 0.000 0.000 0.000
Ca4 Ca 0.671 0.829 0.500
Rh4 Rh 0.845 0.655 0.000
# M_tot ... 0.00 μB per formula unit

=====

The most stable of them is *i*.

=====

*i*
# CaPRh3, optimized geometry, DFT PBE-GGA
data_CaPRh3
_cell_length_a 4.451
_cell_length_b 4.451
_cell_length_c 4.451
_cell_angle_alpha 90.00
_cell_angle_beta 90.00
_cell_angle_gamma 90.00
_symmetry_space_group_name_H-M 'P 1'
_symmetry_Int_Tables_number 1
loop_
_symmetry_equiv_pos_as_xyz
'x,y,z'
loop_
_atom_site_label
_atom_site_type_symbol
_atom_site_fract_x
_atom_site_fract_y
_atom_site_fract_z
Rh1 Rh 0.500 0.000 0.000
Ca1 Ca 0.500 0.500 0.500
P1 P 0.000 0.000 0.000
Rh2 Rh 0.000 0.000 0.500
Rh3 Rh 0.000 0.500 0.000
# M_tot ... 0.00 μB per formula unit

=====

*ii*
# CaPRh3, optimized geometry, DFT PBE-GGA
data_CaPRh3
_cell_length_a 4.719
_cell_length_b 4.719
_cell_length_c 4.719
_cell_angle_alpha 90.00
_cell_angle_beta 90.00
_cell_angle_gamma 90.00
_symmetry_space_group_name_H-M 'P 1'
_symmetry_Int_Tables_number 1
loop_
_symmetry_equiv_pos_as_xyz
'x,y,z'
loop_
_atom_site_label
_atom_site_type_symbol
_atom_site_fract_x
_atom_site_fract_y
_atom_site_fract_z
Rh1 Rh 0.000 0.000 0.500
Rh2 Rh 0.000 0.500 0.000
Ca1 Ca 0.000 0.000 0.000
Rh3 Rh 0.500 0.000 0.000
P1 P 0.500 0.500 0.500
# M_tot ... 1.68 μB per formula unit

=====

The most stable of them is *i*.

=====

*i*
# CaP2Ru, optimized geometry, DFT PBE-GGA
data_CaP2Ru
_cell_length_a 5.260
_cell_length_b 5.260
_cell_length_c 5.260
_cell_angle_alpha 137.39
_cell_angle_beta 137.39
_cell_angle_gamma 61.83
_symmetry_space_group_name_H-M 'P 1'
_symmetry_Int_Tables_number 1
loop_
_symmetry_equiv_pos_as_xyz
'x,y,z'
loop_
_atom_site_label
_atom_site_type_symbol
_atom_site_fract_x
_atom_site_fract_y
_atom_site_fract_z
Ru1 Ru 0.500 0.500 0.000
Ca1 Ca 0.750 0.250 0.500
P1 P 0.250 0.750 0.500
P2 P 0.000 0.000 0.000
# M_tot ... 0.00 μB per formula unit

=====

*ii*
# CaP2Ru, optimized geometry, DFT PBE-GGA
data_CaP2Ru
_cell_length_a 4.162
_cell_length_b 3.702
_cell_length_c 5.912
_cell_angle_alpha 71.75
_cell_angle_beta 90.00
_cell_angle_gamma 90.00
_symmetry_space_group_name_H-M 'P 1'
_symmetry_Int_Tables_number 1
loop_
_symmetry_equiv_pos_as_xyz
'x,y,z'
loop_
_atom_site_label
_atom_site_type_symbol
_atom_site_fract_x
_atom_site_fract_y
_atom_site_fract_z
Ru1 Ru 0.000 0.435 0.256
P1 P 0.000 0.052 0.022
Ca1 Ca 0.500 0.656 0.813
P2 P 0.500 0.357 0.410
# M_tot ... 0.00 μB per formula unit

=====

*iii*
# CaP2Ru, optimized geometry, DFT PBE-GGA
data_CaP2Ru
_cell_length_a 4.035
_cell_length_b 3.211
_cell_length_c 5.465
_cell_angle_alpha 89.99
_cell_angle_beta 90.00
_cell_angle_gamma 90.00
_symmetry_space_group_name_H-M 'P 1'
_symmetry_Int_Tables_number 1
loop_
_symmetry_equiv_pos_as_xyz
'x,y,z'
loop_
_atom_site_label
_atom_site_type_symbol
_atom_site_fract_x
_atom_site_fract_y
_atom_site_fract_z
Ca1 Ca 0.500 0.750 0.750
P1 P 0.000 0.250 0.031
Ru1 Ru 0.500 0.250 0.250
P2 P 0.000 0.250 0.469
# M_tot ... 0.00 μB per formula unit

=====

*iv*
# CaP2Ru, optimized geometry, DFT PBE-GGA
data_CaP2Ru
_cell_length_a 4.508
_cell_length_b 4.508
_cell_length_c 4.508
_cell_angle_alpha 60.00
_cell_angle_beta 60.00
_cell_angle_gamma 60.00
_symmetry_space_group_name_H-M 'P 1'
_symmetry_Int_Tables_number 1
loop_
_symmetry_equiv_pos_as_xyz
'x,y,z'
loop_
_atom_site_label
_atom_site_type_symbol
_atom_site_fract_x
_atom_site_fract_y
_atom_site_fract_z
Ca1 Ca 0.500 0.500 0.500
Ru1 Ru 0.750 0.750 0.750
P1 P 0.000 0.000 0.000
P2 P 0.250 0.250 0.250
# M_tot ... 0.00 μB per formula unit

=====

The most stable of them is *ii*.

=====

*i*
# CaP2Ru, optimized geometry, DFT PBE-GGA
data_CaP2Ru
_cell_length_a 4.486
_cell_length_b 4.486
_cell_length_c 4.486
_cell_angle_alpha 60.00
_cell_angle_beta 60.00
_cell_angle_gamma 60.00
_symmetry_space_group_name_H-M 'P 1'
_symmetry_Int_Tables_number 1
loop_
_symmetry_equiv_pos_as_xyz
'x,y,z'
loop_
_atom_site_label
_atom_site_type_symbol
_atom_site_fract_x
_atom_site_fract_y
_atom_site_fract_z
Ca1 Ca 0.000 0.000 0.000
P1 P 0.250 0.250 0.250
Ru1 Ru 0.500 0.500 0.500
P2 P 0.750 0.750 0.750
# M_tot ... 0.00 μB per formula unit

=====

*ii*
# CaP2Ru, optimized geometry, DFT PBE-GGA
data_CaP2Ru
_cell_length_a 3.192
_cell_length_b 3.192
_cell_length_c 6.566
_cell_angle_alpha 90.00
_cell_angle_beta 90.00
_cell_angle_gamma 90.00
_symmetry_space_group_name_H-M 'P 1'
_symmetry_Int_Tables_number 1
loop_
_symmetry_equiv_pos_as_xyz
'x,y,z'
loop_
_atom_site_label
_atom_site_type_symbol
_atom_site_fract_x
_atom_site_fract_y
_atom_site_fract_z
Ru1 Ru 0.000 0.000 0.414
P1 P 0.500 0.500 0.269
Ca1 Ca 0.500 0.500 0.768
P2 P 0.000 0.000 0.049
# M_tot ... 0.00 μB per formula unit

=====

The most stable of them is *i*.

=====

*i*
# Ca2PRu2, optimized geometry, DFT PBE-GGA
data_Ca2PRu2
_cell_length_a 7.268
_cell_length_b 7.268
_cell_length_c 3.794
_cell_angle_alpha 90.00
_cell_angle_beta 90.00
_cell_angle_gamma 90.00
_symmetry_space_group_name_H-M 'P 1'
_symmetry_Int_Tables_number 1
loop_
_symmetry_equiv_pos_as_xyz
'x,y,z'
loop_
_atom_site_label
_atom_site_type_symbol
_atom_site_fract_x
_atom_site_fract_y
_atom_site_fract_z
Ru1 Ru 0.664 0.836 0.500
Ca1 Ca 0.645 0.145 0.000
P1 P 0.000 0.000 0.000
Ru2 Ru 0.164 0.664 0.500
Ca2 Ca 0.855 0.645 0.000
Ru3 Ru 0.836 0.336 0.500
Ca3 Ca 0.145 0.355 0.000
P2 P 0.500 0.500 0.000
Ru4 Ru 0.336 0.164 0.500
Ca4 Ca 0.355 0.855 0.000
# M_tot ... 1.00 μB per formula unit

=====

*ii*
# Ca2PRu2, optimized geometry, DFT PBE-GGA
data_Ca2PRu2
_cell_length_a 6.298
_cell_length_b 6.298
_cell_length_c 4.717
_cell_angle_alpha 90.00
_cell_angle_beta 90.00
_cell_angle_gamma 90.00
_symmetry_space_group_name_H-M 'P 1'
_symmetry_Int_Tables_number 1
loop_
_symmetry_equiv_pos_as_xyz
'x,y,z'
loop_
_atom_site_label
_atom_site_type_symbol
_atom_site_fract_x
_atom_site_fract_y
_atom_site_fract_z
Ca1 Ca 0.173 0.673 0.500
Ca2 Ca 0.327 0.173 0.500
P1 P 0.500 0.500 0.000
P2 P 0.000 0.000 0.000
Ru1 Ru 0.649 0.149 0.000
Ru2 Ru 0.149 0.351 0.000
Ca3 Ca 0.673 0.827 0.500
Ru3 Ru 0.351 0.851 0.000
Ru4 Ru 0.851 0.649 0.000
Ca4 Ca 0.827 0.327 0.500
# M_tot ... 0.00 μB per formula unit

=====

*iii*
# Ca2PRu2, optimized geometry, DFT PBE-GGA
data_Ca2PRu2
_cell_length_a 3.496
_cell_length_b 3.496
_cell_length_c 9.060
_cell_angle_alpha 78.87
_cell_angle_beta 78.87
_cell_angle_gamma 90.00
_symmetry_space_group_name_H-M 'P 1'
_symmetry_Int_Tables_number 1
loop_
_symmetry_equiv_pos_as_xyz
'x,y,z'
loop_
_atom_site_label
_atom_site_type_symbol
_atom_site_fract_x
_atom_site_fract_y
_atom_site_fract_z
P1 P 0.000 0.000 0.000
Ru1 Ru 0.750 0.250 0.500
Ca1 Ca 0.598 0.598 0.804
Ru2 Ru 0.250 0.750 0.500
Ca2 Ca 0.402 0.402 0.196
# M_tot ... 0.00 μB per formula unit

=====

The most stable of them is *ii*.